1.
Compound: LiCrGeIr
Source: the Alexandria database
Functional: PBE
Structure: relaxed

abc: 5.991 5.991 5.991
angles: 90.00 90.00 90.00
Space group F-43m (No. 216)
One atom of each set of equivalent atoms:
Li  0.000  0.000  0.000 [4 per cell]
Cr  0.250  0.250  0.250 [4 per cell]
Ge  0.250  0.250  0.750 [4 per cell]
Ir  0.000  0.000  0.500 [4 per cell]

* E_form: -0.240 eV/atom
* volume: 13.4 A^3/atom


2.
Compound: MgCrGeIr
Source: the Alexandria database
Functional: PBE
Structure: relaxed

abc: 6.189 6.189 6.189
angles: 90.00 90.00 90.00
Space group F-43m (No. 216)
One atom of each set of equivalent atoms:
Mg  0.000  0.000  0.000 [4 per cell]
Cr  0.250  0.250  0.750 [4 per cell]
Ge  0.000  0.000  0.500 [4 per cell]
Ir  0.250  0.250  0.250 [4 per cell]

* E_form: -0.137 eV/atom
* volume: 14.8 A^3/atom


3.
Compound: CrGeMoIr
Source: the Alexandria database
Functional: PBE
Structure: relaxed

abc: 6.109 6.109 6.109
angles: 90.00 90.00 90.00
Space group F-43m (No. 216)
One atom of each set of equivalent atoms:
Cr  0.000  0.000  0.000 [4 per cell]
Ge  0.000  0.000  0.500 [4 per cell]
Mo  0.250  0.250  0.750 [4 per cell]
Ir  0.250  0.250  0.250 [4 per cell]

* E_form: -0.055 eV/atom
* volume: 14.2 A^3/atom


4.
Compound: Np2CrGe4Ir3
Source: the Alexandria database
Functional: PBE
Structure: relaxed

abc: 4.191 4.191 10.320
angles: 90.00 90.00 90.00
Space group P-4m2 (No. 115)
One atom of each set of equivalent atoms:
Np  0.000  0.500  0.249 [2 per cell]
Cr  0.500  0.500  0.000 [1 per cell]
Ge  0.000  0.000  0.500 [1 per cell]
Ge  0.000  0.500  0.866 [2 per cell]
Ge  0.500  0.500  0.500 [1 per cell]
Ir  0.000  0.000  0.000 [1 per cell]
Ir  0.000  0.500  0.629 [2 per cell]

* E_form: -0.318 eV/atom
* volume: 18.1 A^3/atom


5.
Compound: CrGeIr2Pd
Source: the Alexandria database
Functional: PBE
Structure: relaxed

abc: 4.843 4.843 4.445
angles: 90.00 90.00 90.00
Space group P4/mmm (No. 123)
One atom of each set of equivalent atoms:
Cr  0.000  0.000  0.000 [1 per cell]
Ge  0.500  0.500  0.000 [1 per cell]
Ir  0.000  0.500  0.500 [2 per cell]
Pd  0.500  0.500  0.500 [1 per cell]

* E_form: 1.956 eV/atom
* volume: 20.8 A^3/atom


6.
Compound: Pm2CrGe4Ir3
Source: the Alexandria database
Functional: PBE
Structure: relaxed

abc: 4.259 4.259 10.293
angles: 90.00 90.00 90.00
Space group P-4m2 (No. 115)
One atom of each set of equivalent atoms:
Pm  0.000  0.500  0.245 [2 per cell]
Cr  0.000  0.000  0.500 [1 per cell]
Ge  0.000  0.000  0.000 [1 per cell]
Ge  0.000  0.500  0.634 [2 per cell]
Ge  0.500  0.500  0.000 [1 per cell]
Ir  0.000  0.500  0.874 [2 per cell]
Ir  0.500  0.500  0.500 [1 per cell]

* E_form: -0.660 eV/atom
* volume: 18.7 A^3/atom


7.
Compound: Pu2CrGe4Ir3
Source: the Alexandria database
Functional: PBE
Structure: relaxed

abc: 4.207 4.207 10.369
angles: 90.00 90.00 90.00
Space group P-4m2 (No. 115)
One atom of each set of equivalent atoms:
Pu  0.000  0.500  0.249 [2 per cell]
Cr  0.000  0.000  0.500 [1 per cell]
Ge  0.000  0.000  0.000 [1 per cell]
Ge  0.000  0.500  0.634 [2 per cell]
Ge  0.500  0.500  0.000 [1 per cell]
Ir  0.000  0.500  0.872 [2 per cell]
Ir  0.500  0.500  0.500 [1 per cell]

* E_form: -0.448 eV/atom
* volume: 18.3 A^3/atom


8.
Compound: Cr2GeIrS
Source: the Alexandria database
Functional: PBE
Structure: relaxed

abc: 4.640 4.640 4.547
angles: 90.00 90.00 90.00
Space group P4/mmm (No. 123)
One atom of each set of equivalent atoms:
Cr  0.000  0.500  0.000 [2 per cell]
Ge  0.000  0.000  0.000 [1 per cell]
Ir  0.500  0.500  0.500 [1 per cell]
S  0.000  0.000  0.500 [1 per cell]

* formation energy without anion corrections: 1443 meV/atom
* volume: 19.6 A^3/atom


9.
Compound: Th2CrGe3Ir4
Source: the Alexandria database
Functional: PBE
Structure: relaxed

abc: 4.221 4.221 10.316
angles: 90.00 90.00 90.00
Space group P-4m2 (No. 115)
One atom of each set of equivalent atoms:
Th  0.000  0.500  0.245 [2 per cell]
Cr  0.500  0.500  0.000 [1 per cell]
Ge  0.000  0.000  0.000 [1 per cell]
Ge  0.000  0.500  0.633 [2 per cell]
Ir  0.000  0.000  0.500 [1 per cell]
Ir  0.000  0.500  0.873 [2 per cell]
Ir  0.500  0.500  0.500 [1 per cell]

* E_form: -0.710 eV/atom
* volume: 18.4 A^3/atom


10.
Compound: TiCr2GeIr
Source: the Alexandria database
Functional: PBE
Structure: relaxed

abc: 4.353 4.353 4.607
angles: 90.00 90.00 90.00
Space group P4/mmm (No. 123)
One atom of each set of equivalent atoms:
Ti  0.000  0.000  0.000 [1 per cell]
Cr  0.000  0.500  0.500 [2 per cell]
Ge  0.000  0.000  0.500 [1 per cell]
Ir  0.500  0.500  0.000 [1 per cell]

* E_form: 1.005 eV/atom
* volume: 17.5 A^3/atom


11.
Compound: ZnCrGeIr2
Source: the Alexandria database
Functional: PBE
Structure: relaxed

abc: 4.561 4.561 4.398
angles: 90.00 90.00 90.00
Space group P4/mmm (No. 123)
One atom of each set of equivalent atoms:
Zn  0.000  0.000  0.000 [1 per cell]
Cr  0.500  0.500  0.500 [1 per cell]
Ge  0.000  0.000  0.500 [1 per cell]
Ir  0.000  0.500  0.000 [2 per cell]

* E_form: 1.578 eV/atom
* volume: 18.3 A^3/atom


12.
Compound: ZnCrGeIr
Source: the Alexandria database
Functional: PBE
Structure: relaxed

abc: 6.108 6.108 6.108
angles: 90.00 90.00 90.00
Space group F-43m (No. 216)
One atom of each set of equivalent atoms:
Zn  0.000  0.000  0.000 [4 per cell]
Cr  0.250  0.250  0.250 [4 per cell]
Ge  0.000  0.000  0.500 [4 per cell]
Ir  0.250  0.250  0.750 [4 per cell]

* E_form: -0.097 eV/atom
* volume: 14.2 A^3/atom


13.
Compound: KCrGe
Source: the Alexandria database
Functional: PBE
Structure: relaxed

abc: 4.439 4.439 7.790
angles: 90.00 90.00 90.00
Space group P4/nmm (No. 129, origin choice 2)
One atom of each set of equivalent atoms:
K  0.250  0.250  0.150 [2 per cell]
Cr  0.250  0.750  0.500 [2 per cell]
Ge  0.250  0.250  0.662 [2 per cell]

* E_form: 0.088 eV/atom
* volume: 25.6 A^3/atom